No. 1
This record from Alexandria describes an optimized crystal structure of CaNbSn3. The functional is PBE-GGA.

Cell: 5.3854 5.3854 5.3854 Å, 90.00 90.00 90.00°
Closest atoms and distances in Å follow each position.
Space group Pm-3m (No. 221)
Asymmetric unit:
Ca  0.0000  0.0000  0.0000 x1  12 Sn 3.81
Nb  0.5000  0.5000  0.5000 x1  6 Sn 2.69
Sn  0.0000  0.5000  0.5000 x3  2 Nb 2.69

Properties
ΔE_f (eV/atom): 0.02
Electronic total energy (Ry/atom): -0.35280
E above lowest polymorph (eV/atom): 0.000

No. 2
This record from Alexandria describes an optimized crystal structure of CaNbSn. The functional is PBE-GGA.

Cell: 4.2398 4.2398 8.3609 Å, 90.00 90.00 90.00°
Closest atoms and distances in Å follow each position.
Space group P4/nmm (No. 129, origin choice 2)
Asymmetric unit:
Ca  0.2500  0.2500  0.1560 x2  5 Sn 3.11-3.44
Nb  0.2500  0.7500  0.5000 x2  4 Sn 2.94, 4 Nb 3.00
Sn  0.2500  0.2500  0.7443 x2  4 Nb 2.94, 4 Ca 3.11

Properties
ΔE_f (eV/atom): -0.34
Electronic total energy (Ry/atom): -0.41905

No. 3
This record from Alexandria describes an optimized crystal structure of CaNb2Sn2. The functional is PBE-GGA.

Cell: 8.5603 8.5603 3.0858 Å, 90.00 90.00 90.00°
Closest atoms and distances in Å follow each position.
Space group P4/mbm (No. 127)
Asymmetric unit:
Ca  0.0000  0.0000  0.0000 x2  2 Ca 3.09
Nb  0.1103  0.3897  0.0000 x4  1 Nb 2.67, 2 Sn 2.96
Sn  0.1814  0.6814  0.5000 x4  6 Nb 2.96-3.00, 2 Sn 3.09

Properties
ΔE_f (eV/atom): -0.08
Electronic total energy (Ry/atom): -0.44899
E above lowest polymorph (eV/atom): 0.117

Number 1: Fermi-level density of states 0.70 states/eV/atom, magnetic moment 0.00 μB per cell. Number 2: Fermi-level density of states 0.89 states/eV/atom, magnetic moment 0.00 μB per cell. Number 3: Fermi-level density of states 0.09 states/eV/atom, magnetic moment 0.02 μB per cell.